# Y4InS2

A geometry-optimized Y4InS2 structure (PBE, Alexandria via LeMat-Bulk).

Properties
Space-group type: Cmcm (63)
V in Å³ per cell: 353.8
Formation energy without anion corrections in kJ/mol of formula units: -904

Cell: 3.954 6.884 13.572 Å, 90.00 90.00 106.69°
Fractional coordinates of all 14 atoms:
Y: 0.766 0.532 0.115
Y: 0.766 0.532 0.385
Y: 0.234 0.468 0.885
Y: 0.234 0.468 0.615
Y: 0.926 0.852 0.750
Y: 0.074 0.148 0.250
Y: 0.500 0.000 0.000
Y: 0.500 0.000 0.500
In: 0.608 0.215 0.750
In: 0.392 0.785 0.250
S: 0.134 0.268 0.442
S: 0.866 0.732 0.942
S: 0.134 0.268 0.058
S: 0.866 0.732 0.558

# KHg2Mo

A geometry-optimized KHg2Mo structure (PBE, Alexandria via LeMat-Bulk).

Properties
Space-group type: P4/mmm (123)
V in Å³ per cell: 88.5
Energy relative to the lowest polymorph listed for this composition in meV per atom: 53

Cell: 5.492 5.492 2.935 Å, 90.00 90.00 90.00°
Fractional coordinates of all 4 atoms:
Hg: 0.000 0.000 0.000
Hg: 0.500 0.500 0.000
K: 0.500 0.000 0.500
Mo: 0.000 0.500 0.500

# Pm3Ge2Au9

A geometry-optimized Pm3Ge2Au9 structure (PBE, Alexandria via LeMat-Bulk).

Properties
Space-group type: Immm (71)
V in Å³ per cell: 299.7
Uncorrected energy in eV/cell: -60.16

Cell: 4.592 8.479 8.479 Å, 74.95 74.29 74.29°
Fractional coordinates of all 14 atoms:
Pm: 0.000 0.000 0.000
Pm: 0.695 0.305 0.305
Pm: 0.305 0.695 0.695
Ge: 0.500 0.302 0.698
Ge: 0.500 0.698 0.302
Au: 0.000 0.500 0.500
Au: 0.655 0.976 0.715
Au: 0.345 0.024 0.285
Au: 0.655 0.715 0.976
Au: 0.345 0.285 0.024
Au: 0.868 0.850 0.414
Au: 0.132 0.150 0.586
Au: 0.868 0.414 0.850
Au: 0.132 0.586 0.150

# CsNdAs

A geometry-optimized CsNdAs structure (PBE, Alexandria via LeMat-Bulk).

Properties
Space-group type: C2/m (12)
V in Å³ per cell: 255.1
Uncorrected energy in eV/cell: -25.52

Cell: 4.232 4.232 14.342 Å, 94.77 94.77 89.72°
Fractional coordinates of all 6 atoms:
Cs: 0.793 0.793 0.663
Cs: 0.207 0.207 0.337
Nd: 0.725 0.725 0.914
Nd: 0.275 0.275 0.086
As: 0.217 0.217 0.876
As: 0.783 0.783 0.124